Record 1
The following is a PBE calculation of crystalline ZnCrSe2 at its relaxed geometry, from Alexandria.

The structure belongs to space group Pmmm (No. 47); the cell edges are 3.5533, 3.6062 and 7.7604 Å and the angles 90.00°, 90.00° and 90.00°. The inequivalent atoms are Zn at (0.0000, 0.0000, 0.0000), Cr at (0.0000, 0.5000, 0.5000), Se at (0.5000, 0.0000, 0.5000) and Se at (0.5000, 0.5000, 0.0000).

For the energy relative to the elements, uncorrected, the calculation gives -85.4 meV/atom.

---

Record 2
The following is a PBE calculation of crystalline ZnCrSe2 at its relaxed geometry, from Alexandria.

The structure belongs to space group Immm (No. 71); the cell edges are 3.5946, 7.1481 and 7.8616 Å and the angles 90.00°, 90.00° and 90.00°. The inequivalent atoms are Zn at (0.0000, 0.0000, 0.0000), Cr at (0.0000, 0.5000, 0.0000) and Se at (0.0000, 0.2506, 0.5000).

For the energy relative to the elements, uncorrected, the calculation gives -63.5 meV/atom.

---

Record 3
The following is a PBE calculation of crystalline ZnCr2Se at its relaxed geometry, from Alexandria.

The structure belongs to space group Cmm2 (No. 35); the cell edges are 3.0003, 4.4780 and 9.3922 Å and the angles 90.00°, 90.00° and 90.00°. The inequivalent atoms are Zn at (0.0000, 0.0000, 0.0000), Cr at (0.0000, 0.0000, 0.5892), Cr at (0.0000, 0.5000, 0.7726) and Se at (0.0000, 0.5000, 0.3705).

For the energy relative to the elements, uncorrected, the calculation gives 314.3 meV/atom. Its excess energy over the best structure of this formula in the dataset is 178 meV per atom.

---

Record 4
The following is a PBE calculation of crystalline Zn2Cr2Se at its relaxed geometry, from Alexandria.

The structure belongs to space group P4/mbm (No. 127); the cell edges are 5.9875, 5.9875 and 4.1753 Å and the angles 90.00°, 90.00° and 90.00°. The inequivalent atoms are Zn at (0.1548, 0.3452, 0.0000), Cr at (0.1333, 0.6333, 0.5000) and Se at (0.0000, 0.0000, 0.5000).

For the energy relative to the elements, uncorrected, the calculation gives 190.1 meV/atom. Its excess energy over the best structure of this formula in the dataset is 0 meV per atom.

---

Record 5
The following is a PBE calculation of crystalline ZnCrSe2 at its relaxed geometry, from Alexandria.

The structure belongs to space group I-42d (No. 122); the cell edges are 5.7993, 5.7993 and 11.4307 Å and the angles 90.00°, 90.00° and 90.00°. The inequivalent atoms are Zn at (0.0000, 0.0000, 0.0000), Cr at (0.0000, 0.0000, 0.5000) and Se at (0.2473, 0.2500, 0.1250).

For the energy relative to the elements, uncorrected, the calculation gives -408.6 meV/atom.

---

Record 6
The following is a PBE calculation of crystalline ZnCr2Se at its relaxed geometry, from Alexandria.

The structure belongs to space group Fm-3m (No. 225); the cell edges are 5.9573, 5.9573 and 5.9573 Å and the angles 90.00°, 90.00° and 90.00°. The inequivalent atoms are Zn at (0.0000, 0.0000, 0.0000), Cr at (0.2500, 0.2500, 0.2500) and Se at (0.0000, 0.0000, 0.5000).

For the energy relative to the elements, uncorrected, the calculation gives 480.9 meV/atom. Its excess energy over the best structure of this formula in the dataset is 345 meV per atom.

---

Record 7
The following is a PBE calculation of crystalline ZnCrSe3 at its relaxed geometry, from Alexandria.

The structure belongs to space group Pm-3m (No. 221); the cell edges are 4.7666, 4.7666 and 4.7666 Å and the angles 90.00°, 90.00° and 90.00°. The inequivalent atoms are Zn at (0.0000, 0.0000, 0.0000), Cr at (0.5000, 0.5000, 0.5000) and Se at (0.0000, 0.5000, 0.5000).

For the energy relative to the elements, uncorrected, the calculation gives 272.7 meV/atom. Its excess energy over the best structure of this formula in the dataset is 0 meV per atom.

---

Record 8
The following is a PBE calculation of crystalline ZnCr2Se at its relaxed geometry, from Alexandria.

The structure belongs to space group Imm2 (No. 44); the cell edges are 3.3095, 3.9363 and 10.5422 Å and the angles 90.00°, 90.00° and 90.00°. The inequivalent atoms are Zn at (0.0000, 0.0000, 0.0000), Cr at (0.0000, 0.0000, 0.4389), Cr at (0.0000, 0.5000, 0.1920) and Se at (0.0000, 0.5000, 0.7556).

For the energy relative to the elements, uncorrected, the calculation gives 287.5 meV/atom. Its excess energy over the best structure of this formula in the dataset is 152 meV per atom.